Entry from the Alexandria database: crystalline MgTl3 at its relaxed geometry (PBE-GGA).

Summary:
As for the energy of formation from the pure elements: 0.02 eV per atom. As for the total moment: 0.00 μB/cell.

Lattice parameters (Å, degrees): 6.015 6.015 5.828 103.10 103.10 33.21
Element x y z (fractional)
Mg 0.000 0.000 0.000
Tl 0.261 0.261 0.758
Tl 0.500 0.500 0.500
Tl 0.739 0.739 0.242